DFT (GGA-PBE) results for a relaxed structure of TeS.

a b c (Å): 5.3398 12.6123 6.6945
angles (deg): 90.00 90.00 90.00
Space group Pmmn (No. 59, origin choice 2)
Symmetry-distinct sites (fractional):
Te: 0.2500 0.0928 0.2060 (multiplicity 4)
Te: 0.2500 0.7500 0.1258 (multiplicity 2)
S: 0.2500 0.2500 0.4172 (multiplicity 2)
S: 0.2500 0.6026 0.8962 (multiplicity 4)

Values from the calculation:
V: 37.6 A^3/atom
Uncorrected formation energy: 0.1542 eV/atom
Total magnetic moment: 0.0 μB per cell